First-principles (SCAN) data for Cd2HgI2 at its PBEsol-relaxed geometry, as listed in Alexandria via LeMat-Bulk.

## Properties
formation energy (no corrections): -275 meV per atom

a = 8.584 Å, b = 8.584 Å, c = 4.385 Å
α = 90.00°, β = 90.00°, γ = 90.00°
Fractional positions:
Cd1 0.110 0.390 0.000
Cd2 0.390 0.890 0.000
Cd3 0.610 0.110 0.000
Cd4 0.890 0.610 0.000
Hg1 0.000 0.000 0.000
Hg2 0.500 0.500 0.000
I1 0.236 0.736 0.500
I2 0.264 0.236 0.500
I3 0.736 0.764 0.500
I4 0.764 0.264 0.500